No. 1
# ZnCo2Cl | Alexandria | GGA-PBE | relaxed
data_ZnCo2Cl
_cell_length_a 6.0325
_cell_length_b 6.0325
_cell_length_c 6.0325
_cell_angle_alpha 124.36
_cell_angle_beta 124.36
_cell_angle_gamma 82.60
_symmetry_space_group_name_H-M 'P 1'
_symmetry_Int_Tables_number 1
loop_
_symmetry_equiv_pos_as_xyz
'x,y,z'
loop_
_atom_site_label
_atom_site_type_symbol
_atom_site_fract_x
_atom_site_fract_y
_atom_site_fract_z
Zn1 Zn 0.0000 0.0000 0.0000
Zn2 Zn 0.7500 0.2500 0.5000
Co1 Co 0.1578 0.6250 0.0328
Co2 Co 0.3750 0.4078 0.5328
Co3 Co 0.5922 0.1250 0.9672
Co4 Co 0.8750 0.8422 0.4672
Cl1 Cl 0.2500 0.7500 0.5000
Cl2 Cl 0.5000 0.5000 0.0000
# E_form (uncorrected) ... 0.6423 eV/atom
# SG ... No. 122
# Energy relative to the lowest polymorph listed for this composition ... 0.564 eV per atom



No. 2
# In2Ir4C | Alexandria | GGA-PBE | relaxed
data_In2Ir4C
_cell_length_a 7.5521
_cell_length_b 7.5521
_cell_length_c 7.5521
_cell_angle_alpha 148.58
_cell_angle_beta 148.58
_cell_angle_gamma 45.03
_symmetry_space_group_name_H-M 'P 1'
_symmetry_Int_Tables_number 1
loop_
_symmetry_equiv_pos_as_xyz
'x,y,z'
loop_
_atom_site_label
_atom_site_type_symbol
_atom_site_fract_x
_atom_site_fract_y
_atom_site_fract_z
In1 In 0.1572 0.1572 0.0000
In2 In 0.8428 0.8428 0.0000
Ir1 Ir 0.0000 0.5000 0.5000
Ir2 Ir 0.3535 0.3535 0.0000
Ir3 Ir 0.5000 0.0000 0.5000
Ir4 Ir 0.6465 0.6465 0.0000
C1 C 0.5000 0.5000 0.0000
# DFT formation energy ... 0.395 eV per atom
# SG ... No. 139



No. 3
# SiNi2Pt | Alexandria | GGA-PBE | relaxed
data_SiNi2Pt
_cell_length_a 2.7781
_cell_length_b 2.7781
_cell_length_c 6.2914
_cell_angle_alpha 90.00
_cell_angle_beta 90.00
_cell_angle_gamma 90.00
_symmetry_space_group_name_H-M 'P 1'
_symmetry_Int_Tables_number 1
loop_
_symmetry_equiv_pos_as_xyz
'x,y,z'
loop_
_atom_site_label
_atom_site_type_symbol
_atom_site_fract_x
_atom_site_fract_y
_atom_site_fract_z
Si1 Si 0.0000 0.0000 0.0000
Ni1 Ni 0.5000 0.5000 0.2085
Ni2 Ni 0.5000 0.5000 0.7915
Pt1 Pt 0.0000 0.0000 0.5000
# E_form (uncorrected) ... -0.3833 eV/atom
# SG ... No. 123



No. 4
# Zr2IrCl | Alexandria | GGA-PBE | relaxed
data_Zr2IrCl
_cell_length_a 5.0151
_cell_length_b 5.0151
_cell_length_c 3.0624
_cell_angle_alpha 98.54
_cell_angle_beta 98.54
_cell_angle_gamma 95.76
_symmetry_space_group_name_H-M 'P 1'
_symmetry_Int_Tables_number 1
loop_
_symmetry_equiv_pos_as_xyz
'x,y,z'
loop_
_atom_site_label
_atom_site_type_symbol
_atom_site_fract_x
_atom_site_fract_y
_atom_site_fract_z
Zr1 Zr 0.0000 0.5000 0.0000
Zr2 Zr 0.5000 0.0000 0.0000
Ir1 Ir 0.0000 0.0000 0.5000
Cl1 Cl 0.5000 0.5000 0.5000
# E_form (uncorrected) ... -0.5255 eV/atom
# SG ... No. 12
# Energy relative to the lowest polymorph listed for this composition ... 0.285 eV per atom



No. 5
# Er6Co2Cu | Alexandria | GGA-PBE | relaxed
data_Er6Co2Cu
_cell_length_a 8.1346
_cell_length_b 8.1346
_cell_length_c 8.1346
_cell_angle_alpha 111.34
_cell_angle_beta 110.05
_cell_angle_gamma 107.05
_symmetry_space_group_name_H-M 'P 1'
_symmetry_Int_Tables_number 1
loop_
_symmetry_equiv_pos_as_xyz
'x,y,z'
loop_
_atom_site_label
_atom_site_type_symbol
_atom_site_fract_x
_atom_site_fract_y
_atom_site_fract_z
Er1 Er 0.0500 0.2409 0.8091
Er2 Er 0.1780 0.2748 0.4528
Er3 Er 0.1780 0.7252 0.9032
Er4 Er 0.3259 0.0123 0.6864
Er5 Er 0.3259 0.6395 0.3136
Er6 Er 0.4318 0.2409 0.1909
Er7 Er 0.5682 0.7591 0.8091
Er8 Er 0.6741 0.3605 0.6864
Er9 Er 0.6741 0.9877 0.3136
Er10 Er 0.8220 0.2748 0.0968
Er11 Er 0.8220 0.7252 0.5472
Er12 Er 0.9500 0.7591 0.1909
Co1 Co 0.1157 0.6157 0.5000
Co2 Co 0.3339 0.0000 0.3339
Co3 Co 0.6661 0.0000 0.6661
Co4 Co 0.8843 0.3843 0.5000
Cu1 Cu 0.0000 0.0000 0.0000
Cu2 Cu 0.5000 0.5000 0.0000
# DFT formation energy ... -0.195 eV per atom
# SG ... No. 71



No. 6
# La5Pm8Th | Alexandria | GGA-PBE | relaxed
data_La5Pm8Th
_cell_length_a 8.6663
_cell_length_b 8.6663
_cell_length_c 8.6663
_cell_angle_alpha 110.67
_cell_angle_beta 110.67
_cell_angle_gamma 107.10
_symmetry_space_group_name_H-M 'P 1'
_symmetry_Int_Tables_number 1
loop_
_symmetry_equiv_pos_as_xyz
'x,y,z'
loop_
_atom_site_label
_atom_site_type_symbol
_atom_site_fract_x
_atom_site_fract_y
_atom_site_fract_z
La1 La 0.0000 0.0000 0.0000
La2 La 0.3095 0.2043 0.6749
La3 La 0.3654 0.6905 0.8948
La4 La 0.5293 0.6346 0.3251
La5 La 0.7957 0.4707 0.1052
Pm1 Pm 0.0231 0.7648 0.5991
Pm2 Pm 0.0666 0.3278 0.8993
Pm3 Pm 0.1657 0.4239 0.4009
Pm4 Pm 0.2352 0.8343 0.2582
Pm5 Pm 0.4285 0.1673 0.1007
Pm6 Pm 0.5761 0.9769 0.7418
Pm7 Pm 0.6722 0.5715 0.7388
Pm8 Pm 0.8327 0.9334 0.2612
Th1 Th 0.7500 0.2500 0.5000
# DFT formation energy ... 0.255 eV per atom
# SG ... No. 82



No. 7
# Ac2Mg16Cd | Alexandria | GGA-PBE | relaxed
data_Ac2Mg16Cd
_cell_length_a 7.8955
_cell_length_b 7.8955
_cell_length_c 7.8955
_cell_angle_alpha 82.62
_cell_angle_beta 82.62
_cell_angle_gamma 82.62
_symmetry_space_group_name_H-M 'P 1'
_symmetry_Int_Tables_number 1
loop_
_symmetry_equiv_pos_as_xyz
'x,y,z'
loop_
_atom_site_label
_atom_site_type_symbol
_atom_site_fract_x
_atom_site_fract_y
_atom_site_fract_z
Ac1 Ac 0.0000 0.0000 0.0000
Ac2 Ac 0.3331 0.3331 0.3331
Mg1 Mg 0.0156 0.0156 0.5071
Mg2 Mg 0.0156 0.5071 0.0156
Mg3 Mg 0.1650 0.6670 0.6670
Mg4 Mg 0.3174 0.3174 0.8242
Mg5 Mg 0.3174 0.8242 0.3174
Mg6 Mg 0.3699 0.6665 0.9627
Mg7 Mg 0.3699 0.9627 0.6665
Mg8 Mg 0.5071 0.0156 0.0156
Mg9 Mg 0.5734 0.5734 0.5734
Mg10 Mg 0.6665 0.3699 0.9627
Mg11 Mg 0.6665 0.9627 0.3699
Mg12 Mg 0.6670 0.1650 0.6670
Mg13 Mg 0.6670 0.6670 0.1650
Mg14 Mg 0.8242 0.3174 0.3174
Mg15 Mg 0.9627 0.3699 0.6665
Mg16 Mg 0.9627 0.6665 0.3699
Cd1 Cd 0.7676 0.7676 0.7676
# DFT formation energy ... -0.099 eV per atom
# SG ... No. 160



No. 8
# Sc3CrRe | Alexandria | GGA-PBE | relaxed
data_Sc3CrRe
_cell_length_a 4.6399
_cell_length_b 4.6399
_cell_length_c 4.6399
_cell_angle_alpha 90.00
_cell_angle_beta 90.00
_cell_angle_gamma 90.00
_symmetry_space_group_name_H-M 'P 1'
_symmetry_Int_Tables_number 1
loop_
_symmetry_equiv_pos_as_xyz
'x,y,z'
loop_
_atom_site_label
_atom_site_type_symbol
_atom_site_fract_x
_atom_site_fract_y
_atom_site_fract_z
Sc1 Sc 0.0000 0.0000 0.5000
Sc2 Sc 0.0000 0.5000 0.0000
Sc3 Sc 0.5000 0.0000 0.0000
Cr1 Cr 0.0000 0.0000 0.0000
Re1 Re 0.5000 0.5000 0.5000
# DFT formation energy ... 0.984 eV per atom
# SG ... No. 221
# Energy relative to the lowest polymorph listed for this composition ... 0.000 eV per atom



No. 9
# Ir2AuCl | Alexandria | GGA-PBE | relaxed
data_Ir2AuCl
_cell_length_a 2.8973
_cell_length_b 2.8973
_cell_length_c 9.0751
_cell_angle_alpha 90.00
_cell_angle_beta 90.00
_cell_angle_gamma 122.69
_symmetry_space_group_name_H-M 'P 1'
_symmetry_Int_Tables_number 1
loop_
_symmetry_equiv_pos_as_xyz
'x,y,z'
loop_
_atom_site_label
_atom_site_type_symbol
_atom_site_fract_x
_atom_site_fract_y
_atom_site_fract_z
Ir1 Ir 0.0000 0.0000 0.2349
Ir2 Ir 0.0000 0.0000 0.7651
Au1 Au 0.5000 0.5000 0.5000
Cl1 Cl 0.5000 0.5000 0.0000
# E_form (uncorrected) ... 0.6768 eV/atom
# SG ... No. 65
# Energy relative to the lowest polymorph listed for this composition ... 0.351 eV per atom



No. 10
# ThHgO | Alexandria | GGA-PBE | relaxed
data_ThHgO
_cell_length_a 3.9706
_cell_length_b 3.9706
_cell_length_c 7.9423
_cell_angle_alpha 90.00
_cell_angle_beta 90.00
_cell_angle_gamma 90.00
_symmetry_space_group_name_H-M 'P 1'
_symmetry_Int_Tables_number 1
loop_
_symmetry_equiv_pos_as_xyz
'x,y,z'
loop_
_atom_site_label
_atom_site_type_symbol
_atom_site_fract_x
_atom_site_fract_y
_atom_site_fract_z
Th1 Th 0.2500 0.2500 0.1679
Th2 Th 0.7500 0.7500 0.8321
Hg1 Hg 0.2500 0.2500 0.6016
Hg2 Hg 0.7500 0.7500 0.3984
O1 O 0.2500 0.7500 0.0000
O2 O 0.7500 0.2500 0.0000
# E_form (uncorrected) ... -2.0373 eV/atom
# SG ... No. 129
# Energy relative to the lowest polymorph listed for this composition ... 0.000 eV per atom



No. 11
# Nd5DyYEr2 | Alexandria | GGA-PBE | relaxed
data_Nd5DyYEr2
_cell_length_a 10.6224
_cell_length_b 10.6224
_cell_length_c 10.6876
_cell_angle_alpha 90.00
_cell_angle_beta 90.00
_cell_angle_gamma 149.15
_symmetry_space_group_name_H-M 'P 1'
_symmetry_Int_Tables_number 1
loop_
_symmetry_equiv_pos_as_xyz
'x,y,z'
loop_
_atom_site_label
_atom_site_type_symbol
_atom_site_fract_x
_atom_site_fract_y
_atom_site_fract_z
Nd1 Nd 0.0151 0.9849 0.5000
Nd2 Nd 0.2789 0.7211 0.7956
Nd3 Nd 0.2971 0.7029 0.1909
Nd4 Nd 0.3849 0.6151 0.5047
Nd5 Nd 0.4829 0.5171 0.2268
Nd6 Nd 0.5171 0.4829 0.7268
Nd7 Nd 0.6151 0.3849 0.0047
Nd8 Nd 0.7029 0.2971 0.6909
Nd9 Nd 0.7211 0.2789 0.2956
Nd10 Nd 0.9849 0.0151 0.0000
Dy1 Dy 0.1991 0.8009 0.4944
Dy2 Dy 0.8009 0.1991 0.9944
Y1 Y 0.4075 0.5925 0.9450
Y2 Y 0.5925 0.4075 0.4450
Er1 Er 0.1127 0.8873 0.2222
Er2 Er 0.1143 0.8857 0.7911
Er3 Er 0.8857 0.1143 0.2911
Er4 Er 0.8873 0.1127 0.7222
# DFT formation energy ... 0.149 eV per atom
# SG ... No. 36



No. 12
# Zn2AgPd2 | Alexandria | GGA-PBE | relaxed
data_Zn2AgPd2
_cell_length_a 6.1484
_cell_length_b 6.1484
_cell_length_c 6.1484
_cell_angle_alpha 142.46
_cell_angle_beta 142.46
_cell_angle_gamma 54.13
_symmetry_space_group_name_H-M 'P 1'
_symmetry_Int_Tables_number 1
loop_
_symmetry_equiv_pos_as_xyz
'x,y,z'
loop_
_atom_site_label
_atom_site_type_symbol
_atom_site_fract_x
_atom_site_fract_y
_atom_site_fract_z
Zn1 Zn 0.1085 0.1085 0.0000
Zn2 Zn 0.8915 0.8915 0.0000
Ag1 Ag 0.5000 0.5000 0.0000
Pd1 Pd 0.2500 0.7500 0.5000
Pd2 Pd 0.7500 0.2500 0.5000
# DFT formation energy ... -0.119 eV per atom
# SG ... No. 139
# Energy relative to the lowest polymorph listed for this composition ... 0.236 eV per atom



| no. | VASP energy (eV/atom) |
| --- | --- |
| 1 | -3.691 |
| 2 | -6.768 |
| 3 | -6.140 |
| 4 | -7.476 |
| 5 | -5.271 |
| 6 | -4.750 |
| 7 | -1.923 |
| 8 | -7.230 |
| 9 | -5.035 |
| 10 | -6.264 |
| 11 | -4.743 |
| 12 | -3.276 |